Entry 1:
ScCo2Br after structural relaxation, computed with PBE.

Magnetic moment, μB per atom: 0.80
Uncorrected formation energy, kJ per mole of atoms: 33.2
Energy above the lowest structure with this stoichiometry, meV per atom: 595

```
data_ScCo2Br
_chemical_formula_sum 'Sc2 Co4 Br2'
_symmetry_space_group_name_H-M 'C m m m'
_symmetry_Int_Tables_number 65
_symmetry_space_group_name_Hall '-C 2 2'
_cell_length_a 5.072
_cell_length_b 8.183
_cell_length_c 3.258
_cell_angle_alpha 90.00
_cell_angle_beta 90.00
_cell_angle_gamma 90.00
loop_
_atom_site_label
_atom_site_fract_x
_atom_site_fract_y
_atom_site_fract_z
Sc1 0.000 0.000 0.000
Co1 0.250 0.250 0.500
Br1 0.000 0.500 0.000
```

=====

Entry 2:
ScCo2Br after structural relaxation, computed with PBE.

Magnetic moment, μB per atom: 0.51
Uncorrected formation energy, kJ per mole of atoms: 8.3
Energy above the lowest structure with this stoichiometry, meV per atom: 337

```
data_ScCo2Br
_chemical_formula_sum 'Sc1 Co2 Br1'
_symmetry_space_group_name_H-M 'P 4/m m m'
_symmetry_Int_Tables_number 123
_symmetry_space_group_name_Hall '-P 4 2'
_cell_length_a 3.509
_cell_length_b 3.509
_cell_length_c 5.669
_cell_angle_alpha 90.00
_cell_angle_beta 90.00
_cell_angle_gamma 90.00
loop_
_atom_site_label
_atom_site_fract_x
_atom_site_fract_y
_atom_site_fract_z
Sc1 0.000 0.000 0.000
Co1 0.500 0.500 0.192
Br1 0.000 0.000 0.500
```

=====

Entry 3:
ScCo2Br after structural relaxation, computed with PBE.

Magnetic moment, μB per atom: 0.62
Uncorrected formation energy, kJ per mole of atoms: -11.5
Energy above the lowest structure with this stoichiometry, meV per atom: 131

```
data_ScCo2Br
_chemical_formula_sum 'Sc1 Co2 Br1'
_symmetry_space_group_name_H-M 'P 4 m m'
_symmetry_Int_Tables_number 99
_cell_length_a 3.237
_cell_length_b 3.237
_cell_length_c 7.416
_cell_angle_alpha 90.00
_cell_angle_beta 90.00
_cell_angle_gamma 90.00
loop_
_symmetry_equiv_pos_as_xyz
'x,y,z'
'-y,x,z'
'-x,-y,z'
'y,-x,z'
'-x,y,z'
'y,x,z'
'x,-y,z'
'-y,-x,z'
loop_
_atom_site_label
_atom_site_fract_x
_atom_site_fract_y
_atom_site_fract_z
Sc1 0.000 0.000 0.000
Co1 0.000 0.000 0.675
Co2 0.500 0.500 0.765
Br1 0.500 0.500 0.229
```

=====

Entry 4:
ScCo2Br after structural relaxation, computed with PBE.

Magnetic moment, μB per atom: 0.55
Uncorrected formation energy, kJ per mole of atoms: 36.8
Energy above the lowest structure with this stoichiometry, meV per atom: 632

```
data_ScCo2Br
_chemical_formula_sum 'Sc4 Co8 Br4'
_symmetry_space_group_name_H-M 'F -4 3 m'
_symmetry_Int_Tables_number 216
_symmetry_space_group_name_Hall 'F -4 2 3'
_cell_length_a 6.335
_cell_length_b 6.335
_cell_length_c 6.335
_cell_angle_alpha 90.00
_cell_angle_beta 90.00
_cell_angle_gamma 90.00
loop_
_atom_site_label
_atom_site_fract_x
_atom_site_fract_y
_atom_site_fract_z
Sc1 0.000 0.000 0.000
Co1 0.000 0.000 0.500
Co2 0.250 0.250 0.250
Br1 0.250 0.250 0.750
```